# CaTaCu (PBE, relaxed)
data_CaTaCu
_cell_length_a 3.148
_cell_length_b 5.355
_cell_length_c 7.836
_cell_angle_alpha 94.64
_cell_angle_beta 101.58
_cell_angle_gamma 106.90
_symmetry_space_group_name_H-M 'P 1'
_symmetry_Int_Tables_number 1
_symmetry_space_group_name_Hall 'P 1'
loop_
_atom_site_label
_atom_site_type_symbol
_atom_site_fract_x
_atom_site_fract_y
_atom_site_fract_z
Ca1 Ca 0.229 0.301 0.158
Ca2 Ca 0.771 0.699 0.842
Ta1 Ta 0.114 0.763 0.463
Ta2 Ta 0.886 0.237 0.537
Cu1 Cu 0.473 0.145 0.803
Cu2 Cu 0.527 0.855 0.197
# N(E_F)	0.51	states/eV per atom
# total magnetization	0.0	Bohr magnetons per cell
# symmetry	P-1, No. 2
# DFT total energy	-5.6947	eV/atom